(1)
Density functional theory data (PBE) for Rb3PmNd2Te6 after structural relaxation.

Properties
spin magnetization = 0.00 Bohr magnetons per cell
final energy = -52.94 eV/cell
ΔE_f (raw) = -135.9 kJ/mol of atoms

Cell lengths 8.0395, 8.0395, 8.9827 Å; angles 98.58, 98.58, 120.00 degrees
Fractional positions:
Rb 0.0000 0.0000 0.0000
Rb 0.3328 0.6672 0.0000
Rb 0.6672 0.3328 0.0000
Pm 0.5000 0.5000 0.5000
Nd 0.1666 0.8334 0.5000
Nd 0.8334 0.1666 0.5000
Te 0.1001 0.4318 0.2954
Te 0.2366 0.2366 0.7048
Te 0.4318 0.1001 0.2954
Te 0.5682 0.8999 0.7046
Te 0.7634 0.7634 0.2952
Te 0.8999 0.5682 0.7046

(2)
Density functional theory data (PBE) for RbPm3Nd2Te6 after structural relaxation.

Properties
spin magnetization = 0.00 Bohr magnetons per cell
final energy = -60.07 eV/cell
ΔE_f (raw) = -132.4 kJ/mol of atoms

Cell lengths 10.2152, 10.2152, 9.2930 Å; angles 103.55, 103.55, 25.41 degrees
Fractional positions:
Rb 0.0000 0.0000 0.0000
Pm 0.0000 0.0000 0.5000
Pm 0.3383 0.3383 0.1793
Pm 0.6617 0.6617 0.8207
Nd 0.3292 0.3292 0.6538
Nd 0.6708 0.6708 0.3462
Te 0.1645 0.1645 0.5850
Te 0.1752 0.1752 0.0852
Te 0.4968 0.4968 0.7308
Te 0.5032 0.5032 0.2692
Te 0.8248 0.8248 0.9148
Te 0.8355 0.8355 0.4150

(3)
Density functional theory data (PBE) for Rb2PmNdTe4 after structural relaxation.

Properties
spin magnetization = 0.00 Bohr magnetons per cell
final energy = -35.28 eV/cell
ΔE_f (raw) = -135.8 kJ/mol of atoms

Cell lengths 8.0303, 4.6377, 8.9803 Å; angles 90.00, 107.34, 90.00 degrees
Fractional positions:
Rb 0.0000 0.0000 0.0000
Rb 0.5000 0.5000 0.0000
Pm 0.0000 0.5000 0.5000
Nd 0.5000 0.0000 0.5000
Te 0.2332 0.0000 0.7041
Te 0.2637 0.5000 0.2952
Te 0.7363 0.5000 0.7048
Te 0.7668 0.0000 0.2959

(4)
Density functional theory data (PBE) for PmNd4Rh4 after structural relaxation.

Properties
spin magnetization = 0.00 Bohr magnetons per cell
DFT formation energy = -5.0 eV per formula unit
final energy = -116.52 eV/cell

Cell lengths 9.0087, 9.0087, 5.8014 Å; angles 90.00, 90.00, 90.00 degrees
Fractional positions:
Pm 0.2500 0.2500 0.2500
Pm 0.7500 0.7500 0.7500
Nd 0.0631 0.6636 0.1640
Nd 0.1636 0.9369 0.6640
Nd 0.3364 0.5631 0.6640
Nd 0.4369 0.8364 0.1640
Nd 0.5631 0.1636 0.8360
Nd 0.6636 0.4369 0.3360
Nd 0.8364 0.0631 0.3360
Nd 0.9369 0.3364 0.8360
Rh 0.0282 0.6273 0.6567
Rh 0.1273 0.9718 0.1567
Rh 0.3727 0.5282 0.1567
Rh 0.4718 0.8727 0.6567
Rh 0.5282 0.1273 0.3433
Rh 0.6273 0.4718 0.8433
Rh 0.8727 0.0282 0.8433
Rh 0.9718 0.3727 0.3433